Record 1
Here is crystalline AlTe2IrI at its relaxed geometry from Alexandria. Energies are from GGA-PBE.

Output
Volume, Å³/cell: 155.6
Relative energy among the computed polymorphs, meV per atom: 0
Total DFT energy (no corrections), eV per atom: -3.594
Formation energy without anion corrections, eV per formula unit: 2.47

```
data_AlTe2IrI
_chemical_formula_sum 'Al1 Te2 Ir1 I1'
_cell_length_a 5.236
_cell_length_b 5.236
_cell_length_c 5.674
_cell_angle_alpha 90.00
_cell_angle_beta 90.00
_cell_angle_gamma 90.00
_space_group_name_H-M_alt 'P 1'
_space_group_IT_number 1
_space_group_name_Hall 'P 1'
loop_
_atom_site_label
_atom_site_fract_x
_atom_site_fract_y
_atom_site_fract_z
I1 0.000 0.000 0.500
Ir1 0.000 0.000 0.000
Te1 0.000 0.500 0.000
Te2 0.500 0.000 0.000
Al1 0.500 0.500 0.500
```

***

Record 2
Here is crystalline AlTe2IrI at its relaxed geometry from Alexandria. Energies are from GGA-PBE.

Output
Volume, Å³/cell: 144.3
Relative energy among the computed polymorphs, meV per atom: 641
Total DFT energy (no corrections), eV per atom: -2.954
Formation energy without anion corrections, eV per formula unit: 5.67

```
data_AlTe2IrI
_chemical_formula_sum 'Al1 Te2 Ir1 I1'
_cell_length_a 5.269
_cell_length_b 5.269
_cell_length_c 5.198
_cell_angle_alpha 90.00
_cell_angle_beta 90.00
_cell_angle_gamma 90.00
_space_group_name_H-M_alt 'P 1'
_space_group_IT_number 1
_space_group_name_Hall 'P 1'
loop_
_atom_site_label
_atom_site_fract_x
_atom_site_fract_y
_atom_site_fract_z
I1 0.000 0.000 0.500
Ir1 0.500 0.500 0.500
Te1 0.000 0.500 0.000
Te2 0.500 0.000 0.000
Al1 0.000 0.000 0.000
```

***

Record 3
Here is crystalline KAl2I6 at its relaxed geometry from Alexandria. Energies are from GGA-PBE.

Output
Volume, Å³/cell: 469.5
Total DFT energy (no corrections), eV per atom: -2.725
Formation energy without anion corrections, eV per formula unit: -6.64

```
data_KAl2I6
_chemical_formula_sum 'K1 Al2 I6'
_cell_length_a 8.141
_cell_length_b 8.141
_cell_length_c 9.434
_cell_angle_alpha 64.44
_cell_angle_beta 64.44
_cell_angle_gamma 60.00
_space_group_name_H-M_alt 'P 1'
_space_group_IT_number 1
_space_group_name_Hall 'P 1'
loop_
_atom_site_label
_atom_site_fract_x
_atom_site_fract_y
_atom_site_fract_z
K1 0.339 0.339 0.982
Al1 0.723 0.723 0.831
Al2 0.609 0.609 0.174
I1 0.788 0.430 0.750
I2 0.031 0.788 0.750
I3 0.430 0.031 0.750
I4 0.280 0.581 0.255
I5 0.884 0.280 0.255
I6 0.581 0.884 0.255
```

***

Record 4
Here is crystalline KAl2I at its relaxed geometry from Alexandria. Energies are from GGA-PBE.

Output
Volume, Å³/cell: 132.5
Total DFT energy (no corrections), eV per atom: -2.045
Formation energy without anion corrections, eV per formula unit: 1.95

```
data_KAl2I
_chemical_formula_sum 'K1 Al2 I1'
_cell_length_a 5.722
_cell_length_b 5.722
_cell_length_c 5.722
_cell_angle_alpha 60.00
_cell_angle_beta 60.00
_cell_angle_gamma 60.00
_space_group_name_H-M_alt 'P 1'
_space_group_IT_number 1
_space_group_name_Hall 'P 1'
loop_
_atom_site_label
_atom_site_fract_x
_atom_site_fract_y
_atom_site_fract_z
I1 0.500 0.500 0.500
K1 0.000 0.000 0.000
Al1 0.250 0.250 0.250
Al2 0.750 0.750 0.750
```

***

Record 5
Here is crystalline K6Al3I14 at its relaxed geometry from Alexandria. Energies are from GGA-PBE.

Output
Volume, Å³/cell: 1042.0
Total DFT energy (no corrections), eV per atom: -2.761
Formation energy without anion corrections, eV per formula unit: -23.99

```
data_K6Al3I14
_chemical_formula_sum 'K6 Al3 I14'
_cell_length_a 7.084
_cell_length_b 13.032
_cell_length_c 13.032
_cell_angle_alpha 120.00
_cell_angle_beta 90.00
_cell_angle_gamma 90.00
_space_group_name_H-M_alt 'P 1'
_space_group_IT_number 1
_space_group_name_Hall 'P 1'
loop_
_atom_site_label
_atom_site_fract_x
_atom_site_fract_y
_atom_site_fract_z
K1 0.231 0.788 0.113
K2 0.231 0.887 0.674
K3 0.231 0.326 0.212
K4 0.752 0.543 0.552
K5 0.752 0.448 0.991
K6 0.752 0.009 0.457
Al1 0.844 0.000 0.000
Al2 0.360 0.333 0.667
Al3 0.477 0.667 0.333
I1 0.973 0.079 0.212
I2 0.973 0.788 0.868
I3 0.973 0.132 0.921
I4 0.486 0.252 0.454
I5 0.486 0.546 0.798
I6 0.486 0.202 0.748
I7 0.484 0.000 0.000
I8 0.999 0.333 0.667
I9 0.704 0.747 0.189
I10 0.704 0.811 0.558
I11 0.704 0.442 0.253
I12 0.247 0.586 0.481
I13 0.247 0.519 0.105
I14 0.247 0.895 0.414
```

***

Record 6
Here is crystalline KAlI4 at its relaxed geometry from Alexandria. Energies are from GGA-PBE.

Output
Volume, Å³/cell: 1238.6
Total DFT energy (no corrections), eV per atom: -2.810
Formation energy without anion corrections, eV per formula unit: -5.82

```
data_KAlI4
_chemical_formula_sum 'K4 Al4 I16'
_cell_length_a 8.743
_cell_length_b 11.949
_cell_length_c 11.992
_cell_angle_alpha 90.00
_cell_angle_beta 90.00
_cell_angle_gamma 98.66
_space_group_name_H-M_alt 'P 1'
_space_group_IT_number 1
_space_group_name_Hall 'P 1'
loop_
_atom_site_label
_atom_site_fract_x
_atom_site_fract_y
_atom_site_fract_z
K1 0.359 0.153 0.802
K2 0.141 0.347 0.302
K3 0.859 0.653 0.698
K4 0.641 0.847 0.198
Al1 0.874 0.218 0.829
Al2 0.626 0.282 0.329
Al3 0.374 0.718 0.671
Al4 0.126 0.782 0.171
I1 0.700 0.039 0.897
I2 0.001 0.169 0.646
I3 0.803 0.131 0.295
I4 0.411 0.209 0.467
I5 0.697 0.369 0.795
I6 0.089 0.291 0.967
I7 0.499 0.331 0.146
I8 0.800 0.461 0.397
I9 0.200 0.539 0.603
I10 0.501 0.669 0.854
I11 0.911 0.709 0.033
I12 0.303 0.631 0.205
I13 0.589 0.791 0.533
I14 0.197 0.869 0.705
I15 0.999 0.831 0.354
I16 0.300 0.961 0.103
```

***

Record 7
Here is crystalline KAl3I at its relaxed geometry from Alexandria. Energies are from GGA-PBE.

Output
Volume, Å³/cell: 234.0
Relative energy among the computed polymorphs, meV per atom: 478
Total DFT energy (no corrections), eV per atom: -1.546
Formation energy without anion corrections, eV per formula unit: 6.14

```
data_KAl3I
_chemical_formula_sum 'K1 Al3 I1'
_cell_length_a 6.163
_cell_length_b 6.163
_cell_length_c 6.163
_cell_angle_alpha 90.00
_cell_angle_beta 90.00
_cell_angle_gamma 90.00
_space_group_name_H-M_alt 'P 1'
_space_group_IT_number 1
_space_group_name_Hall 'P 1'
loop_
_atom_site_label
_atom_site_fract_x
_atom_site_fract_y
_atom_site_fract_z
I1 0.500 0.500 0.500
K1 0.000 0.000 0.000
Al1 0.000 0.500 0.000
Al2 0.000 0.000 0.500
Al3 0.500 0.000 0.000
```

***

Record 8
Here is crystalline K2Al2I7 at its relaxed geometry from Alexandria. Energies are from GGA-PBE.

Output
Volume, Å³/cell: 1151.7
Total DFT energy (no corrections), eV per atom: -2.718
Formation energy without anion corrections, eV per formula unit: -9.36

```
data_K2Al2I7
_chemical_formula_sum 'K4 Al4 I14'
_cell_length_a 9.036
_cell_length_b 9.036
_cell_length_c 14.636
_cell_angle_alpha 98.06
_cell_angle_beta 98.06
_cell_angle_gamma 99.22
_space_group_name_H-M_alt 'P 1'
_space_group_IT_number 1
_space_group_name_Hall 'P 1'
loop_
_atom_site_label
_atom_site_fract_x
_atom_site_fract_y
_atom_site_fract_z
K1 0.291 0.710 0.497
K2 0.290 0.709 0.003
K3 0.710 0.291 0.997
K4 0.709 0.290 0.503
Al1 0.221 0.222 0.209
Al2 0.222 0.221 0.709
Al3 0.778 0.779 0.291
Al4 0.779 0.778 0.791
I1 0.903 0.596 0.389
I2 0.093 0.410 0.116
I3 0.388 0.384 0.362
I4 0.001 0.999 0.250
I5 0.596 0.903 0.889
I6 0.410 0.093 0.616
I7 0.384 0.388 0.862
I8 0.616 0.612 0.138
I9 0.590 0.907 0.384
I10 0.404 0.097 0.111
I11 0.999 0.001 0.750
I12 0.612 0.616 0.638
I13 0.907 0.590 0.884
I14 0.097 0.404 0.611
```

***

Record 9
Here is crystalline K2AlI4 at its relaxed geometry from Alexandria. Energies are from GGA-PBE.

Output
Volume, Å³/cell: 297.6
Total DFT energy (no corrections), eV per atom: -2.706
Formation energy without anion corrections, eV per formula unit: -6.81

```
data_K2AlI4
_chemical_formula_sum 'K2 Al1 I4'
_cell_length_a 5.732
_cell_length_b 5.732
_cell_length_c 9.923
_cell_angle_alpha 106.79
_cell_angle_beta 106.79
_cell_angle_gamma 90.00
_space_group_name_H-M_alt 'P 1'
_space_group_IT_number 1
_space_group_name_Hall 'P 1'
loop_
_atom_site_label
_atom_site_fract_x
_atom_site_fract_y
_atom_site_fract_z
I1 0.835 0.835 0.670
I2 0.165 0.165 0.330
I3 0.000 0.500 0.000
I4 0.500 0.000 0.000
K1 0.640 0.640 0.280
K2 0.360 0.360 0.720
Al1 0.000 0.000 0.000
```

***

Q: Which value of volume does entry 2 give?
A: 144.3 Å³/cell

***

Q: What is the formula in the sixth record?
A: KAlI4

***

Q: What is the formula in the first record?
A: AlTe2IrI